# 1
VASP calculation (GGA-PBE) on an optimized crystal structure of V2CoTc.

Cell: 6.5378 6.5378 5.1344 Å, 90.00 90.00 90.00°
Space group I-42d (No. 122)
Unique sites:
V: 0.2337 0.2500 0.1250 (multiplicity 8)
Co: 0.0000 0.0000 0.0000 (multiplicity 4)
Tc: 0.0000 0.0000 0.5000 (multiplicity 4)

Calculated values
**ΔE_f**: 386 meV/atom
**Spin magnetization**: 0.02 μB/f.u.
**DOS at the Fermi energy**: 1.571 states/eV per atom
**V**: 13.72 Å³ per atom



# 2
VASP calculation (GGA-PBE) on an optimized crystal structure of V2Co6Tc.

Cell: 4.7755 4.7755 5.5716 Å, 90.00 90.00 120.00°
Space group P-3m1 (No. 164)
Unique sites:
V: 0.3333 0.6667 0.1315 (multiplicity 2)
Co: 0.1749 0.3498 0.6689 (multiplicity 6)
Tc: 0.0000 0.0000 0.0000 (multiplicity 1)

Calculated values
**ΔE_f**: 179 meV/atom
**Spin magnetization**: 1.92 μB/f.u.
**DOS at the Fermi energy**: 1.404 states/eV per atom
**Relative energy among the computed polymorphs**: 0.0746 eV per atom
**V**: 12.23 Å³ per atom



# 3
VASP calculation (GGA-PBE) on an optimized crystal structure of V2CoTc2.

Cell: 3.9334 3.9334 10.2792 Å, 90.00 90.00 90.00°
Space group I4/mmm (No. 139)
Unique sites:
V: 0.0000 0.0000 0.1148 (multiplicity 4)
Co: 0.0000 0.0000 0.5000 (multiplicity 2)
Tc: 0.0000 0.5000 0.2500 (multiplicity 4)

Calculated values
**ΔE_f**: 765 meV/atom
**Spin magnetization**: 2.43 μB/f.u.
**DOS at the Fermi energy**: 1.481 states/eV per atom
**Relative energy among the computed polymorphs**: 0.5270 eV per atom
**V**: 15.90 Å³ per atom